An optimized crystal structure of Mg2MnGe2, computed with PBE.

Cell: 6.556 6.556 4.278 Å, 90.00 90.00 90.00°
Space group P4/mbm (No. 127)
One atom of each set of equivalent atoms:
Mg 0.175 0.325 0.000 [4 per cell]
Mn 0.000 0.000 0.500 [2 per cell]
Ge 0.139 0.639 0.500 [4 per cell]

Calculated values
The value obtained for the formation energy is -0.093 eV/atom. The value obtained for the total energy is -22.06 eV per formula unit. The crystal system is tetragonal. As for the volume: 184 Å³/cell.